An optimized crystal structure of SrTlHg2Se. Source: the Alexandria database, functional GGA-PBE.

The structure belongs to space group P4/mmm (No. 123); the cell edges are 5.584, 5.584 and 5.754 Å and the angles 90.00°, 90.00° and 90.00°. The distinct sites, in fractional coordinates, are Sr at (0.000, 0.000, 0.000), Tl at (0.500, 0.500, 0.000), Hg at (0.000, 0.500, 0.500) and Se at (0.000, 0.000, 0.500).

Its volume is 35.88 A^3/atom. The formation energy (no corrections) comes out at -179 meV/atom.